Computed, not measured: a relaxed TbZr2Ir crystal at the GGA-PBE level of DFT.

a = 6.8908 Å, b = 6.8908 Å, c = 6.8908 Å
α = 90.00°, β = 90.00°, γ = 90.00°
Space group Fm-3m (No. 225)
Inequivalent atoms, fractional coordinates:
Tb1 0.0000 0.0000 0.0000 (multiplicity 4)
Zr1 0.2500 0.2500 0.2500 (multiplicity 8)
Ir1 0.0000 0.0000 0.5000 (multiplicity 4)

Output
**Energy relative to the elements**: -0.8 eV/f.u.
**Total energy**: -125.651 eV/cell
**DOS at the Fermi energy**: 4.65 states/eV/f.u.

***

Computed, not measured: a relaxed CaLuZnSn crystal at the GGA-PBE level of DFT.

a = 7.3540 Å, b = 7.3540 Å, c = 7.3540 Å
α = 90.00°, β = 90.00°, γ = 90.00°
Space group F-43m (No. 216)
Inequivalent atoms, fractional coordinates:
Ca1 0.0000 0.0000 0.0000 (multiplicity 4)
Lu1 0.0000 0.0000 0.5000 (multiplicity 4)
Zn1 0.2500 0.2500 0.2500 (multiplicity 4)
Sn1 0.2500 0.2500 0.7500 (multiplicity 4)

Output
**Energy relative to the elements**: -1.7 eV/f.u.
**Total energy**: -54.037 eV/cell
**DOS at the Fermi energy**: 2.84 states/eV/f.u.

***

Computed, not measured: a relaxed Tm2Sc crystal at the GGA-PBE level of DFT.

a = 8.9106 Å, b = 8.9106 Å, c = 8.9106 Å
α = 90.00°, β = 90.00°, γ = 90.00°
Space group Fd-3m (No. 227, origin choice 2)
Inequivalent atoms, fractional coordinates:
Tm1 0.0000 0.0000 0.0000 (multiplicity 16)
Sc1 0.1250 0.1250 0.6250 (multiplicity 8)

Output
**Energy relative to the elements**: 1.0 eV/f.u.
**Excess energy over the best structure of this formula in the dataset**: 288 meV per atom
**Total energy**: -114.187 eV/cell
**DOS at the Fermi energy**: 5.23 states/eV/f.u.

***

- energy relative to the elements of number 2 (CaLuZnSn)?
  -1.7 eV/f.u.